Entry 1:
Compound: SrCo2Tc
Source: the Alexandria database
Functional: PBE-GGA
Structure: relaxed

Cell and atoms, written as CIF:
```
data_SrCo2Tc
_space_group_name_H-M_alt 'F m -3 m'
_space_group_IT_number 225
_space_group_name_Hall '-F 4 2 3'
_cell_length_a 6.438
_cell_length_b 6.438
_cell_length_c 6.438
_cell_angle_alpha 90.00
_cell_angle_beta 90.00
_cell_angle_gamma 90.00
loop_
_atom_site_label
_atom_site_type_symbol
_atom_site_fract_x
_atom_site_fract_y
_atom_site_fract_z
_atom_site_occupancy
Sr1 Sr 0.000 0.000 0.000 1
Co1 Co 0.250 0.250 0.250 1
Tc1 Tc 0.000 0.000 0.500 1
```

Relative energy among the computed polymorphs: 0.556 eV/atom
Crystal system: cubic
VASP energy: -91.65 eV/cell



Entry 2:
Compound: NpCuPdPb
Source: the Alexandria database
Functional: PBE-GGA
Structure: relaxed

Cell and atoms, written as CIF:
```
data_NpCuPdPb
_space_group_name_H-M_alt 'F -4 3 m'
_space_group_IT_number 216
_space_group_name_Hall 'F -4 2 3'
_cell_length_a 6.884
_cell_length_b 6.884
_cell_length_c 6.884
_cell_angle_alpha 90.00
_cell_angle_beta 90.00
_cell_angle_gamma 90.00
loop_
_atom_site_label
_atom_site_type_symbol
_atom_site_fract_x
_atom_site_fract_y
_atom_site_fract_z
_atom_site_occupancy
Np1 Np 0.000 0.000 0.000 1
Cu1 Cu 0.250 0.250 0.250 1
Pd1 Pd 0.250 0.250 0.750 1
Pb1 Pb 0.000 0.000 0.500 1
```

Crystal system: cubic
VASP energy: -103.46 eV/cell



Entry 3:
Compound: MgHgMo
Source: the Alexandria database
Functional: PBE-GGA
Structure: relaxed

Cell and atoms, written as CIF:
```
data_MgHgMo
_space_group_name_H-M_alt 'P 3 m 1'
_space_group_IT_number 156
_cell_length_a 2.9833
_cell_length_b 2.9833
_cell_length_c 7.3226
_cell_angle_alpha 90.00
_cell_angle_beta 90.00
_cell_angle_gamma 120.00
loop_
_space_group_symop_operation_xyz
'x,y,z'
'-y,x-y,z'
'-x+y,-x,z'
'-y,-x,z'
'-x+y,y,z'
'x,x-y,z'
loop_
_atom_site_label
_atom_site_type_symbol
_atom_site_fract_x
_atom_site_fract_y
_atom_site_fract_z
_atom_site_occupancy
Mg1 Mg 0.0000 0.0000 0.0000 1
Hg1 Hg 0.3333 0.6667 0.6528 1
Mo1 Mo 0.6667 0.3333 0.3172 1
```

Relative energy among the computed polymorphs: 0.062 eV/atom
Crystal system: trigonal
VASP energy: -11.54 eV/cell



Formation enthalpy at 0 K values, unit eV per atom, following the record order: 0.837; 0.018; 0.397.